# 1
A plane-wave DFT calculation with PBE-GGA was carried out for a relaxed structure of HfZrMoRh.

Cell: 4.661 4.661 4.661 Å, 60.00 60.00 60.00°
Fractional positions:
Hf 0.000 0.000 0.000
Zr 0.500 0.500 0.500
Mo 0.250 0.250 0.250
Rh 0.750 0.750 0.750

As for the total DFT energy (no corrections): -9.65 eV per atom. Its excess energy over the best structure of this formula in the dataset is 0.0176 eV/atom. The crystal system is cubic.

=====

# 2
A plane-wave DFT calculation with PBE-GGA was carried out for a relaxed structure of HfZrMoRh.

Cell: 3.307 3.307 6.621 Å, 90.00 90.00 90.00°
Fractional positions:
Hf 0.000 0.000 0.000
Zr 0.000 0.000 0.502
Mo 0.500 0.500 0.752
Rh 0.500 0.500 0.246

As for the total DFT energy (no corrections): -9.67 eV per atom. Its excess energy over the best structure of this formula in the dataset is 0.0000 eV/atom. The crystal system is tetragonal.

=====

# 3
A plane-wave DFT calculation with PBE-GGA was carried out for a relaxed structure of HfMo3Ru.

Cell: 4.691 4.691 4.691 Å, 90.00 90.00 90.00°
Fractional positions:
Hf 0.000 0.000 0.000
Mo 0.000 0.000 0.500
Mo 0.000 0.500 0.000
Mo 0.500 0.000 0.000
Ru 0.500 0.500 0.500

As for the total DFT energy (no corrections): -8.06 eV per atom. Its excess energy over the best structure of this formula in the dataset is 1.0429 eV/atom. The crystal system is cubic.

=====

# 4
A plane-wave DFT calculation with PBE-GGA was carried out for a relaxed structure of HfMo2Ru2.

Cell: 7.518 7.518 2.911 Å, 90.00 90.00 90.00°
Fractional positions:
Hf 0.000 0.000 0.000
Hf 0.500 0.500 0.000
Mo 0.167 0.333 0.500
Mo 0.333 0.833 0.500
Mo 0.667 0.167 0.500
Mo 0.833 0.667 0.500
Ru 0.130 0.630 0.000
Ru 0.370 0.130 0.000
Ru 0.630 0.870 0.000
Ru 0.870 0.370 0.000

As for the total DFT energy (no corrections): -10.00 eV per atom. Its excess energy over the best structure of this formula in the dataset is 0.0000 eV/atom. The crystal system is tetragonal.

=====

# 5
A plane-wave DFT calculation with PBE-GGA was carried out for a relaxed structure of HfMo3Ru.

Cell: 4.678 4.678 4.678 Å, 90.00 90.00 90.00°
Fractional positions:
Hf 0.000 0.000 0.000
Mo 0.000 0.500 0.500
Mo 0.500 0.000 0.500
Mo 0.500 0.500 0.000
Ru 0.500 0.500 0.500

As for the total DFT energy (no corrections): -9.10 eV per atom. Its excess energy over the best structure of this formula in the dataset is 0.0000 eV/atom. The crystal system is cubic.

=====

# 6
A plane-wave DFT calculation with PBE-GGA was carried out for a relaxed structure of Hf2MoRu.

Cell: 5.887 5.887 5.887 Å, 103.88 103.88 121.36°
Fractional positions:
Hf 0.105 0.125 0.480
Hf 0.375 0.895 0.020
Hf 0.645 0.625 0.520
Hf 0.875 0.355 0.980
Mo 0.250 0.750 0.500
Mo 0.500 0.500 0.000
Ru 0.000 0.000 0.000
Ru 0.750 0.250 0.500

As for the total DFT energy (no corrections): -9.68 eV per atom. The crystal system is tetragonal.

=====

# 7
A plane-wave DFT calculation with PBE-GGA was carried out for a relaxed structure of Hf2MoRu.

Cell: 3.264 3.264 6.643 Å, 90.00 90.00 90.00°
Fractional positions:
Hf 0.000 0.000 0.245
Hf 0.000 0.000 0.755
Mo 0.500 0.500 0.500
Ru 0.500 0.500 0.000

As for the total DFT energy (no corrections): -10.41 eV per atom. The crystal system is tetragonal.

=====

# 8
A plane-wave DFT calculation with PBE-GGA was carried out for a relaxed structure of HfTcMoRu.

Cell: 4.500 4.500 4.500 Å, 60.00 60.00 60.00°
Fractional positions:
Hf 0.000 0.000 0.000
Tc 0.750 0.750 0.750
Mo 0.500 0.500 0.500
Ru 0.250 0.250 0.250

As for the total DFT energy (no corrections): -10.35 eV per atom. The crystal system is cubic.

=====

> Number 7 is which compound?

Hf2MoRu

=====

> Number 3 is which compound?

HfMo3Ru